CeSmPa: relaxed, PBE.

Cell lengths 3.2427, 5.7011, 10.5612 Å; angles 62.85, 81.17, 73.48 degrees
Atoms (fractional coordinates):
Sm1 0.6209 0.1707 0.5874
Sm2 0.3791 0.8293 0.4126
Ce1 0.8631 0.1917 0.0821
Ce2 0.1369 0.8083 0.9179
Pa1 0.1219 0.5235 0.2328
Pa2 0.8781 0.4765 0.7672

Properties
The calculation puts the energy of formation from the pure elements at 0.7 eV/f.u. The calculation puts the excess energy over the best structure of this formula in the dataset at 89 meV/atom. Its total magnetization is 0.00 μB per atom. Its energy is -38.9 eV per cell.

Ca2TaW: relaxed, PBE.

Cell lengths 2.8694, 2.8694, 10.7980 Å; angles 90.00, 90.00, 101.48 degrees
Atoms (fractional coordinates):
Ta1 0.5000 0.5000 0.2500
Ca1 0.0000 0.0000 0.5100
Ca2 0.0000 0.0000 0.9900
W1 0.5000 0.5000 0.7500

Properties
The calculation puts the energy of formation from the pure elements at 3.6 eV/f.u. The calculation puts the excess energy over the best structure of this formula in the dataset at 494 meV/atom. Its total magnetization is 0.00 μB per atom. Its energy is -25.2 eV per cell.

LiHg2Se: relaxed, PBE.

Cell lengths 9.2680, 9.2680, 9.2680 Å; angles 21.09, 21.09, 21.09 degrees
Atoms (fractional coordinates):
Se1 0.7500 0.7500 0.7500
Li1 0.2500 0.2500 0.2500
Hg1 0.5081 0.5081 0.5081
Hg2 0.9919 0.9919 0.9919

Properties
Its total magnetization is 0.00 μB per atom. The formation energy (no corrections) comes out at -44.6 kJ/mol of formula units. Its energy is -6.5 eV per cell.

AcMg2InHg2: relaxed, PBE.

Cell lengths 5.0064, 5.0064, 7.2936 Å; angles 90.00, 90.00, 120.00 degrees
Atoms (fractional coordinates):
Mg1 0.6667 0.3333 0.3289
Mg2 0.3333 0.6667 0.6711
Hg1 0.6667 0.3333 0.7618
Hg2 0.3333 0.6667 0.2382
Ac1 0.0000 0.0000 0.0000
In1 0.0000 0.0000 0.5000

Properties
The calculation puts the energy of formation from the pure elements at -2.1 eV/f.u. Its total magnetization is 0.00 μB per atom. Its energy is -12.7 eV per cell.

Q: What is the energy in the fourth record?
A: -12.7 eV per cell

Copy entry 3 word for word.
LiHg2Se: relaxed, PBE.

Cell lengths 9.2680, 9.2680, 9.2680 Å; angles 21.09, 21.09, 21.09 degrees
Atoms (fractional coordinates):
Se1 0.7500 0.7500 0.7500
Li1 0.2500 0.2500 0.2500
Hg1 0.5081 0.5081 0.5081
Hg2 0.9919 0.9919 0.9919

Properties
Its total magnetization is 0.00 μB per atom. The formation energy (no corrections) comes out at -44.6 kJ/mol of formula units. Its energy is -6.5 eV per cell.